1.
A plane-wave DFT calculation with PBE was carried out for a relaxed structure of Mn2Cr2Ga.

Properties
E above lowest polymorph   0.000 eV/f.u.
Crystal system   tetragonal
Formation enthalpy at 0 K   0.2085 eV per atom
Total magnetic moment   0.001 Bohr magnetons per cell

abc: 6.760 6.760 2.679
angles: 90.00 90.00 90.00
Space group P4/mbm (No. 127)
Asymmetric unit:
Mn 0.133 0.367 0.000 [4 per cell]
Cr 0.162 0.662 0.500 [4 per cell]
Ga 0.000 0.000 0.000 [2 per cell]

2.
A plane-wave DFT calculation with PBE was carried out for a relaxed structure of Sc2BeZn.

Properties
E above lowest polymorph   1.709 eV/f.u.
Crystal system   cubic
Formation enthalpy at 0 K   0.2169 eV per atom
Total magnetic moment   5.961 Bohr magnetons per cell

abc: 6.526 6.526 6.526
angles: 90.00 90.00 90.00
Space group F-43m (No. 216)
Asymmetric unit:
Sc 0.000 0.000 0.000 [4 per cell]
Sc 0.250 0.250 0.250 [4 per cell]
Be 0.000 0.000 0.500 [4 per cell]
Zn 0.250 0.250 0.750 [4 per cell]

3.
A plane-wave DFT calculation with PBE was carried out for a relaxed structure of TlCd5Hg11.

Properties
Crystal system   monoclinic
Formation enthalpy at 0 K   0.0273 eV per atom
Total magnetic moment   0.000 Bohr magnetons per cell

abc: 10.652 12.937 6.661
angles: 90.00 99.34 90.00
Space group C2/m (No. 12)
Asymmetric unit:
Tl 0.000 0.000 0.000 [2 per cell]
Cd 0.000 0.500 0.000 [2 per cell]
Cd 0.185 0.165 0.648 [8 per cell]
Hg 0.000 0.000 0.500 [2 per cell]
Hg 0.043 0.270 0.240 [8 per cell]
Hg 0.132 0.500 0.448 [4 per cell]
Hg 0.232 0.377 0.872 [8 per cell]

4.
A plane-wave DFT calculation with PBE was carried out for a relaxed structure of Mn4Co3.

Properties
E above lowest polymorph   0.946 eV/f.u.
Crystal system   tetragonal
Formation enthalpy at 0 K   0.1239 eV per atom
Total magnetic moment   24.143 Bohr magnetons per cell

abc: 2.778 2.778 20.515
angles: 90.00 90.00 90.00
Space group I4/mmm (No. 139)
Asymmetric unit:
Mn 0.000 0.000 0.072 [4 per cell]
Mn 0.000 0.000 0.357 [4 per cell]
Co 0.000 0.000 0.214 [4 per cell]
Co 0.000 0.000 0.500 [2 per cell]

5.
A plane-wave DFT calculation with PBE was carried out for a relaxed structure of ZnFe2Pt.

Properties
Crystal system   tetragonal
Formation enthalpy at 0 K   -0.1342 eV per atom
Total magnetic moment   11.381 Bohr magnetons per cell

abc: 3.705 3.705 7.865
angles: 90.00 90.00 90.00
Space group I4/mmm (No. 139)
Asymmetric unit:
Zn 0.000 0.000 0.000 [2 per cell]
Fe 0.000 0.500 0.250 [4 per cell]
Pt 0.000 0.000 0.500 [2 per cell]

6.
A plane-wave DFT calculation with PBE was carried out for a relaxed structure of TbAg2Hg4.

Properties
Crystal system   tetragonal
Formation enthalpy at 0 K   -0.1627 eV per atom
Total magnetic moment   0.000 Bohr magnetons per cell

abc: 4.864 4.864 7.129
angles: 90.00 90.00 90.00
Space group P4/mmm (No. 123)
Asymmetric unit:
Tb 0.000 0.000 0.000 [1 per cell]
Ag 0.000 0.000 0.500 [1 per cell]
Ag 0.500 0.500 0.000 [1 per cell]
Hg 0.000 0.500 0.275 [4 per cell]

7.
A plane-wave DFT calculation with PBE was carried out for a relaxed structure of RbMg2In.

Properties
Crystal system   tetragonal
Formation enthalpy at 0 K   0.2277 eV per atom
Total magnetic moment   0.000 Bohr magnetons per cell

abc: 6.136 6.136 19.123
angles: 90.00 90.00 90.00
Space group I4_1/amd (No. 141, origin choice 2)
Asymmetric unit:
Rb 0.000 0.250 0.375 [4 per cell]
Mg 0.000 0.000 0.000 [8 per cell]
In 0.000 0.250 0.875 [4 per cell]

8.
A plane-wave DFT calculation with PBE was carried out for a relaxed structure of HfThBi3.

Properties
Crystal system   orthorhombic
Formation enthalpy at 0 K   -0.3505 eV per atom
Total magnetic moment   0.000 Bohr magnetons per cell

abc: 13.688 6.753 6.475
angles: 90.00 90.00 90.00
Space group Pbcm (No. 57)
Asymmetric unit:
Hf 0.091 0.250 0.000 [4 per cell]
Th 0.316 0.504 0.250 [4 per cell]
Bi 0.081 0.617 0.250 [4 per cell]
Bi 0.246 0.016 0.250 [4 per cell]
Bi 0.499 0.250 0.000 [4 per cell]

9.
A plane-wave DFT calculation with PBE was carried out for a relaxed structure of CuSn2Pt2.

Properties
E above lowest polymorph   0.000 eV/f.u.
Crystal system   tetragonal
Formation enthalpy at 0 K   -0.2181 eV per atom
Total magnetic moment   0.000 Bohr magnetons per cell

abc: 7.117 7.117 3.736
angles: 90.00 90.00 90.00
Space group P4/mbm (No. 127)
Asymmetric unit:
Cu 0.000 0.000 0.000 [2 per cell]
Sn 0.162 0.338 0.500 [4 per cell]
Pt 0.143 0.643 0.000 [4 per cell]

10.
A plane-wave DFT calculation with PBE was carried out for a relaxed structure of ErZn2Pb.

Properties
E above lowest polymorph   0.000 eV/f.u.
Crystal system   tetragonal
Formation enthalpy at 0 K   -0.2427 eV per atom
Total magnetic moment   0.000 Bohr magnetons per cell

abc: 4.403 4.403 4.429
angles: 90.00 90.00 90.00
Space group P4/mmm (No. 123)
Asymmetric unit:
Er 0.000 0.000 0.000 [1 per cell]
Zn 0.000 0.500 0.500 [2 per cell]
Pb 0.500 0.500 0.000 [1 per cell]

11.
A plane-wave DFT calculation with PBE was carried out for a relaxed structure of Zr2FeI.

Properties
E above lowest polymorph   0.922 eV/f.u.
Crystal system   tetragonal
Total magnetic moment   0.000 Bohr magnetons per cell
Formation energy from raw total energies   0.51 eV per atom

abc: 6.150 6.150 12.017
angles: 90.00 90.00 90.00
Space group I-42d (No. 122)
Asymmetric unit:
Zr 0.156 0.250 0.125 [8 per cell]
Fe 0.000 0.000 0.000 [4 per cell]
I 0.000 0.000 0.500 [4 per cell]

12.
A plane-wave DFT calculation with PBE was carried out for a relaxed structure of Rh2Au2Cl.

Properties
E above lowest polymorph   0.000 eV/f.u.
Crystal system   tetragonal
Total magnetic moment   0.000 Bohr magnetons per cell
Formation energy from raw total energies   0.37 eV per atom

abc: 6.470 6.470 4.150
angles: 90.00 90.00 90.00
Space group P4/mbm (No. 127)
Asymmetric unit:
Rh 0.155 0.345 0.000 [4 per cell]
Au 0.153 0.653 0.500 [4 per cell]
Cl 0.000 0.000 0.000 [2 per cell]

13.
A plane-wave DFT calculation with PBE was carried out for a relaxed structure of Tl5Bi3Se12.

Properties
Crystal system   cubic
Total magnetic moment   0.000 Bohr magnetons per cell
Formation energy from raw total energies   -0.12 eV per atom

abc: 16.972 16.972 16.972
angles: 90.00 90.00 90.00
Space group Ia-3d (No. 230)
Asymmetric unit:
Tl 0.000 0.000 0.000 [16 per cell]
Tl 0.000 0.250 0.375 [24 per cell]
Bi 0.000 0.250 0.125 [24 per cell]
Se 0.020 0.066 0.653 [96 per cell]

14.
A plane-wave DFT calculation with PBE was carried out for a relaxed structure of Hf2BeIn2.

Properties
E above lowest polymorph   0.000 eV/f.u.
Crystal system   tetragonal
Formation enthalpy at 0 K   0.2126 eV per atom
Total magnetic moment   0.000 Bohr magnetons per cell

abc: 6.771 6.771 4.690
angles: 90.00 90.00 90.00
Space group P4/mbm (No. 127)
Asymmetric unit:
Hf 0.159 0.341 0.000 [4 per cell]
Be 0.000 0.000 0.000 [2 per cell]
In 0.157 0.657 0.500 [4 per cell]

15.
A plane-wave DFT calculation with PBE was carried out for a relaxed structure of Cs2KLiF.

Properties
Crystal system   tetragonal
Total magnetic moment   0.000 Bohr magnetons per cell
Formation energy from raw total energies   -0.93 eV per atom

abc: 6.299 6.299 5.768
angles: 90.00 90.00 90.00
Space group P4/mmm (No. 123)
Asymmetric unit:
Cs 0.000 0.500 0.000 [2 per cell]
K 0.000 0.000 0.500 [1 per cell]
Li 0.500 0.500 0.500 [1 per cell]
F 0.000 0.000 0.000 [1 per cell]

16.
A plane-wave DFT calculation with PBE was carried out for a relaxed structure of AcEuLuTh.

Properties
Crystal system   cubic
Formation enthalpy at 0 K   0.2672 eV per atom
Total magnetic moment   23.050 Bohr magnetons per cell

abc: 8.363 8.363 8.363
angles: 90.00 90.00 90.00
Space group F-43m (No. 216)
Asymmetric unit:
Ac 0.000 0.000 0.000 [4 per cell]
Eu 0.250 0.250 0.250 [4 per cell]
Lu 0.000 0.000 0.500 [4 per cell]
Th 0.250 0.250 0.750 [4 per cell]

17.
A plane-wave DFT calculation with PBE was carried out for a relaxed structure of ScSb3Pb4O13.

Properties
Crystal system   trigonal
Total magnetic moment   0.000 Bohr magnetons per cell
Formation energy from raw total energies   -1.64 eV per atom

abc: 7.5797 7.5797 18.5187
angles: 90.00 90.00 120.00
Space group R3m (No. 160, hexagonal axes)
Asymmetric unit:
Sc 0.0000 0.0000 0.0000 [3 per cell]
Sb 0.0009 0.5004 0.5007 [9 per cell]
Pb 0.0000 0.0000 0.4986 [3 per cell]
Pb 0.0008 0.5004 0.0010 [9 per cell]
O 0.0000 0.0000 0.6233 [3 per cell]
O 0.0628 0.5314 0.6049 [9 per cell]
O 0.0685 0.5343 0.8554 [9 per cell]
O 0.1956 0.3912 0.7291 [9 per cell]
O 0.2018 0.4036 0.4799 [9 per cell]

18.
A plane-wave DFT calculation with PBE was carried out for a relaxed structure of Ce2Hg3Pb.

Properties
E above lowest polymorph   0.000 eV/f.u.
Crystal system   orthorhombic
Formation enthalpy at 0 K   -0.3137 eV per atom
Total magnetic moment   22.958 Bohr magnetons per cell

abc: 7.038 10.260 17.787
angles: 90.00 90.00 90.00
Space group Fmmm (No. 69)
Asymmetric unit:
Ce 0.243 0.000 0.000 [8 per cell]
Ce 0.250 0.250 0.250 [8 per cell]
Hg 0.000 0.000 0.164 [8 per cell]
Hg 0.000 0.247 0.082 [16 per cell]
Pb 0.000 0.000 0.334 [8 per cell]

19.
A plane-wave DFT calculation with PBE was carried out for a relaxed structure of SmB2Ru5.

Properties
Crystal system   orthorhombic
Formation enthalpy at 0 K   -0.0767 eV per atom
Total magnetic moment   0.001 Bohr magnetons per cell

abc: 3.753 6.754 8.870
angles: 90.00 90.00 90.00
Space group Immm (No. 71)
Asymmetric unit:
Sm 0.000 0.000 0.000 [2 per cell]
B 0.000 0.500 0.242 [4 per cell]
Ru 0.000 0.193 0.345 [8 per cell]
Ru 0.000 0.500 0.000 [2 per cell]

20.
A plane-wave DFT calculation with PBE was carried out for a relaxed structure of RuAu3.

Properties
Crystal system   cubic
Formation enthalpy at 0 K   0.4076 eV per atom
Total magnetic moment   8.184 Bohr magnetons per cell

abc: 6.526 6.526 6.526
angles: 90.00 90.00 90.00
Space group Fm-3m (No. 225)
Asymmetric unit:
Ru 0.000 0.000 0.000 [4 per cell]
Au 0.000 0.000 0.500 [4 per cell]
Au 0.250 0.250 0.250 [8 per cell]